[1]
Compound: Zr2TlIn
Source: Alexandria via LeMat-Bulk
Functional: PBE
Structure: optimized geometry

a = 3.2487 Å, b = 3.2487 Å, c = 30.7512 Å
α = 90.00°, β = 90.00°, γ = 120.00°
Space group R-3m (No. 166, hexagonal axes)
Symmetry-distinct sites (fractional):
Zr 0.0000 0.0000 0.2505 x6
Tl 0.0000 0.0000 0.5000 x3
In 0.0000 0.0000 0.0000 x3

## Properties
ΔE_f = -0.086 eV per atom
distance to the lowest polymorph of the same formula = 0.107 eV per atom
density of states at the Fermi level = 16.089 states/eV/cell


[2]
Compound: La6Ho4Sc
Source: Alexandria via LeMat-Bulk
Functional: PBE
Structure: optimized geometry

a = 5.8431 Å, b = 9.6952 Å, c = 26.3090 Å
α = 90.00°, β = 90.00°, γ = 90.00°
Space group Cmcm (No. 63)
Symmetry-distinct sites (fractional):
La 0.0000 0.0000 0.0000 x4
La 0.0000 0.0569 0.2500 x4
La 0.0000 0.2884 0.6116 x8
La 0.0000 0.3600 0.0480 x8
Ho 0.0000 0.0526 0.1255 x8
Ho 0.0000 0.3858 0.1844 x8
Sc 0.0000 0.2822 0.7500 x4

## Properties
ΔE_f = 0.132 eV per atom
density of states at the Fermi level = 80.028 states/eV/cell


[3]
Compound: Na5CuBrO2
Source: Alexandria via LeMat-Bulk
Functional: PBE
Structure: optimized geometry

a = 4.7149 Å, b = 4.7149 Å, c = 8.2621 Å
α = 90.00°, β = 90.00°, γ = 90.00°
Space group P4/mmm (No. 123)
Symmetry-distinct sites (fractional):
Na 0.0000 0.0000 0.0000 x1
Na 0.0000 0.5000 0.2854 x4
Cu 0.0000 0.0000 0.5000 x1
Br 0.5000 0.5000 0.0000 x1
O 0.0000 0.0000 0.2751 x2

## Properties
raw formation energy = -1.073 eV per atom
density of states at the Fermi level = 1.204 states/eV/cell


[4]
Compound: CrIrCl2
Source: Alexandria via LeMat-Bulk
Functional: PBE
Structure: optimized geometry

a = 3.0529 Å, b = 5.2761 Å, c = 10.7394 Å
α = 90.00°, β = 90.00°, γ = 90.00°
Space group Cmmm (No. 65)
Symmetry-distinct sites (fractional):
Cr 0.0000 0.0000 0.0000 x2
Ir 0.0000 0.0000 0.5000 x2
Cl 0.0000 0.5000 0.1607 x4

## Properties
distance to the lowest polymorph of the same formula = 0.642 eV per atom
raw formation energy = 0.461 eV per atom
density of states at the Fermi level = 6.317 states/eV/cell


[5]
Compound: Hf5NbIn2
Source: Alexandria via LeMat-Bulk
Functional: PBE
Structure: optimized geometry

a = 4.3860 Å, b = 4.3860 Å, c = 18.1201 Å
α = 90.00°, β = 90.00°, γ = 90.00°
Space group I4/mmm (No. 139)
Symmetry-distinct sites (fractional):
Hf 0.0000 0.0000 0.0000 x2
Hf 0.0000 0.5000 0.1208 x8
Nb 0.0000 0.0000 0.5000 x2
In 0.0000 0.0000 0.2499 x4

## Properties
ΔE_f = -0.064 eV per atom
density of states at the Fermi level = 15.827 states/eV/cell


[6]
Compound: MgCdPdF6
Source: Alexandria via LeMat-Bulk
Functional: PBE
Structure: optimized geometry

a = 5.4703 Å, b = 5.4703 Å, c = 9.6172 Å
α = 90.00°, β = 90.00°, γ = 120.00°
Space group P-31c (No. 163)
Symmetry-distinct sites (fractional):
Mg 0.3333 0.6667 0.2500 x2
Cd 0.0000 0.0000 0.0000 x2
Pd 0.3333 0.6667 0.7500 x2
F 0.0261 0.3574 0.1343 x12

## Properties
raw formation energy = -2.256 eV per atom


[7]
Compound: Cs2NaC2O6
Source: Alexandria via LeMat-Bulk
Functional: PBE
Structure: optimized geometry

a = 10.2537 Å, b = 5.8988 Å, c = 7.2840 Å
α = 90.00°, β = 117.87°, γ = 90.00°
Space group C2/m (No. 12)
Symmetry-distinct sites (fractional):
Cs 0.2184 0.0000 0.1582 x4
Na 0.0000 0.0000 0.5000 x2
C 0.0947 0.5000 0.2884 x4
O 0.0309 0.3098 0.2865 x8
O 0.2219 0.5000 0.2911 x4

## Properties
raw formation energy = -1.601 eV per atom
density of states at the Fermi level = 12.243 states/eV/cell


[8]
Compound: Pm3Tm5Pb2
Source: Alexandria via LeMat-Bulk
Functional: PBE
Structure: optimized geometry

a = 12.7631 Å, b = 15.7343 Å, c = 6.3766 Å
α = 90.00°, β = 90.00°, γ = 90.00°
Space group Ibam (No. 72)
Symmetry-distinct sites (fractional):
Pm 0.0000 0.0000 0.2500 x4
Pm 0.1236 0.2267 0.0000 x8
Tm 0.0000 0.5000 0.2500 x4
Tm 0.1050 0.3383 0.5000 x8
Tm 0.2462 0.5000 0.2500 x8
Pb 0.1427 0.1496 0.5000 x8

## Properties
ΔE_f = 0.002 eV per atom
density of states at the Fermi level = 41.960 states/eV/cell


[9]
Compound: TbCuPt3
Source: Alexandria via LeMat-Bulk
Functional: PBE
Structure: optimized geometry

a = 4.4740 Å, b = 6.4484 Å, c = 6.1571 Å
α = 90.00°, β = 90.00°, γ = 90.00°
Space group Pmmn (No. 59, origin choice 2)
Symmetry-distinct sites (fractional):
Tb 0.2500 0.2500 0.2364 x2
Cu 0.2500 0.7500 0.4491 x2
Pt 0.2500 0.0487 0.7230 x4
Pt 0.2500 0.7500 0.0505 x2

## Properties
ΔE_f = -0.574 eV per atom
density of states at the Fermi level = 7.882 states/eV/cell


[10]
Compound: PmPrSiAg
Source: Alexandria via LeMat-Bulk
Functional: PBE
Structure: optimized geometry

a = 7.3891 Å, b = 7.3891 Å, c = 7.3891 Å
α = 90.00°, β = 90.00°, γ = 90.00°
Space group F-43m (No. 216)
Symmetry-distinct sites (fractional):
Pm 0.0000 0.0000 0.0000 x4
Pr 0.0000 0.0000 0.5000 x4
Si 0.2500 0.2500 0.2500 x4
Ag 0.2500 0.2500 0.7500 x4

## Properties
raw formation energy = -0.413 eV per atom
density of states at the Fermi level = 16.114 states/eV/cell


[11]
Compound: Nd2BeBr
Source: Alexandria via LeMat-Bulk
Functional: PBE
Structure: optimized geometry

a = 4.0295 Å, b = 4.0295 Å, c = 23.1046 Å
α = 90.00°, β = 90.00°, γ = 120.00°
Space group R-3m (No. 166, hexagonal axes)
Symmetry-distinct sites (fractional):
Nd 0.0000 0.0000 0.2394 x6
Be 0.0000 0.0000 0.5000 x3
Br 0.0000 0.0000 0.0000 x3

## Properties
raw formation energy = -0.491 eV per atom
density of states at the Fermi level = 12.792 states/eV/cell


[12]
Compound: MnZn2Se
Source: Alexandria via LeMat-Bulk
Functional: PBE
Structure: optimized geometry

a = 3.5827 Å, b = 3.5827 Å, c = 5.0926 Å
α = 90.00°, β = 90.00°, γ = 90.00°
Space group P4/mmm (No. 123)
Symmetry-distinct sites (fractional):
Mn 0.0000 0.0000 0.0000 x1
Zn 0.5000 0.5000 0.2410 x2
Se 0.0000 0.0000 0.5000 x1

## Properties
raw formation energy = 0.060 eV per atom
density of states at the Fermi level = 1.431 states/eV/cell


[13]
Compound: Fe3Pt12Rh
Source: Alexandria via LeMat-Bulk
Functional: PBE
Structure: optimized geometry

a = 3.9203 Å, b = 3.9203 Å, c = 15.6909 Å
α = 90.00°, β = 90.00°, γ = 90.00°
Space group P4/mmm (No. 123)
Symmetry-distinct sites (fractional):
Fe 0.0000 0.0000 0.0000 x1
Fe 0.0000 0.0000 0.2512 x2
Pt 0.0000 0.5000 0.1242 x4
Pt 0.0000 0.5000 0.3715 x4
Pt 0.5000 0.5000 0.0000 x1
Pt 0.5000 0.5000 0.2478 x2
Pt 0.5000 0.5000 0.5000 x1
Rh 0.0000 0.0000 0.5000 x1

## Properties
ΔE_f = -0.169 eV per atom
density of states at the Fermi level = 18.897 states/eV/cell


[14]
Compound: Sc4Zn5Ag
Source: Alexandria via LeMat-Bulk
Functional: PBE
Structure: optimized geometry

a = 3.3258 Å, b = 3.3258 Å, c = 16.4712 Å
α = 90.00°, β = 90.00°, γ = 90.00°
Space group P4/mmm (No. 123)
Symmetry-distinct sites (fractional):
Sc 0.0000 0.0000 0.1022 x2
Sc 0.0000 0.0000 0.3047 x2
Zn 0.5000 0.5000 0.0000 x1
Zn 0.5000 0.5000 0.2031 x2
Zn 0.5000 0.5000 0.4093 x2
Ag 0.0000 0.0000 0.5000 x1

## Properties
ΔE_f = -0.309 eV per atom
density of states at the Fermi level = 7.401 states/eV/cell


[15]
Compound: Y2Pt2Au
Source: Alexandria via LeMat-Bulk
Functional: PBE
Structure: optimized geometry

a = 7.6116 Å, b = 7.6116 Å, c = 3.7382 Å
α = 90.00°, β = 90.00°, γ = 90.00°
Space group P4/mbm (No. 127)
Symmetry-distinct sites (fractional):
Y 0.1702 0.3298 0.0000 x4
Pt 0.1311 0.6311 0.5000 x4
Au 0.0000 0.0000 0.5000 x2

## Properties
ΔE_f = -1.099 eV per atom
distance to the lowest polymorph of the same formula = 0.000 eV per atom
density of states at the Fermi level = 4.483 states/eV/cell


[16]
Compound: BaCeCl2
Source: Alexandria via LeMat-Bulk
Functional: PBE
Structure: optimized geometry

a = 3.9611 Å, b = 3.9611 Å, c = 30.1404 Å
α = 90.00°, β = 90.00°, γ = 120.00°
Space group R-3m (No. 166, hexagonal axes)
Symmetry-distinct sites (fractional):
Ba 0.0000 0.0000 0.0000 x3
Ce 0.0000 0.0000 0.5000 x3
Cl 0.0000 0.0000 0.1045 x6

## Properties
raw formation energy = -1.403 eV per atom
density of states at the Fermi level = 19.750 states/eV/cell


[17]
Compound: Ca5SmIn6
Source: Alexandria via LeMat-Bulk
Functional: PBE
Structure: optimized geometry

a = 17.1134 Å, b = 7.7709 Å, c = 5.4174 Å
α = 90.00°, β = 108.18°, γ = 90.00°
Space group C2/m (No. 12)
Symmetry-distinct sites (fractional):
Ca 0.0000 0.0000 0.0000 x2
Ca 0.1671 0.0000 0.6670 x4
Ca 0.1692 0.5000 0.6692 x4
Sm 0.0000 0.5000 0.0000 x2
In 0.0000 0.2500 0.5000 x4
In 0.1653 0.2498 0.1652 x8

## Properties
ΔE_f = -0.474 eV per atom
density of states at the Fermi level = 12.340 states/eV/cell


[18]
Compound: LaGa2SiPt
Source: Alexandria via LeMat-Bulk
Functional: PBE
Structure: optimized geometry

a = 5.5484 Å, b = 5.5484 Å, c = 5.3010 Å
α = 90.00°, β = 90.00°, γ = 90.00°
Space group P4/mmm (No. 123)
Symmetry-distinct sites (fractional):
La 0.0000 0.0000 0.0000 x1
Ga 0.0000 0.5000 0.0000 x2
Si 0.0000 0.0000 0.5000 x1
Pt 0.5000 0.5000 0.5000 x1

## Properties
raw formation energy = 1.423 eV per atom
density of states at the Fermi level = 5.914 states/eV/cell


[19]
Compound: TiNbZnTc
Source: Alexandria via LeMat-Bulk
Functional: PBE
Structure: optimized geometry

a = 6.3334 Å, b = 6.3334 Å, c = 6.3334 Å
α = 90.00°, β = 90.00°, γ = 90.00°
Space group F-43m (No. 216)
Symmetry-distinct sites (fractional):
Ti 0.0000 0.0000 0.0000 x4
Nb 0.0000 0.0000 0.5000 x4
Zn 0.2500 0.2500 0.2500 x4
Tc 0.2500 0.2500 0.7500 x4

## Properties
ΔE_f = -0.201 eV per atom
density of states at the Fermi level = 6.344 states/eV/cell


[20]
Compound: CaHf3Sb
Source: Alexandria via LeMat-Bulk
Functional: PBE
Structure: optimized geometry

a = 5.3404 Å, b = 5.3404 Å, c = 5.3404 Å
α = 90.00°, β = 90.00°, γ = 90.00°
Space group Pm-3m (No. 221)
Symmetry-distinct sites (fractional):
Ca 0.0000 0.0000 0.0000 x1
Hf 0.0000 0.5000 0.5000 x3
Sb 0.5000 0.5000 0.5000 x1

## Properties
distance to the lowest polymorph of the same formula = 0.000 eV per atom
raw formation energy = 0.689 eV per atom
density of states at the Fermi level = 4.906 states/eV/cell